The following is a PBE calculation of a relaxed structure of Li3Pu2CuS6, from Alexandria via LeMat-Bulk.

Cell: 6.561 6.561 6.485 Å, 99.67 99.67 119.97°
Site moments in Bohr magnetons follow the coordinates.
Element x y z (fractional)
Li: 0.164 0.836 0.500  -0.01
Li: 0.500 0.500 0.500  -0.01
Li: 0.836 0.164 0.500  -0.01
S: 0.918 0.590 0.753  -0.15
S: 0.754 0.754 0.247  -0.15
S: 0.410 0.082 0.247  -0.15
S: 0.082 0.410 0.247  -0.15
S: 0.246 0.246 0.753  -0.15
S: 0.590 0.918 0.753  -0.15
Pu: 0.667 0.333 0.000  4.62
Pu: 0.333 0.667 0.000  4.62
Cu: 0.000 0.000 0.000  -0.23

## Properties
E_form (uncorrected) in eV per atom: -1.22
SG: No. 12